--- a ---
# Sr2HfCr

Sr2HfCr after structural relaxation (PBE, Alexandria via LeMat-Bulk).

Output
SG: No. 122
Mass density, g/cm³: 4.18

a = 11.5288 Å, b = 11.5288 Å, c = 8.5056 Å
α = 47.33°, β = 47.33°, γ = 90.00°
Each line ends with the local moment (μB).
Fractional positions:
Hf: 0.7500 0.2500 0.5000  -0.30
Hf: 0.0000 0.0000 0.0000  -0.30
Sr: 0.3750 0.5275 0.7500  0.01
Sr: 0.2775 0.6250 0.2500  0.01
Sr: 0.8750 0.7225 0.7500  0.01
Sr: 0.4725 0.1250 0.2500  0.01
Cr: 0.5000 0.5000 0.0000  2.64
Cr: 0.2500 0.7500 0.5000  2.64



--- b ---
# Sr2HfCr

Sr2HfCr after structural relaxation (PBE, Alexandria via LeMat-Bulk).

Output
SG: No. 225
Mass density, g/cm³: 5.92

a = 5.4389 Å, b = 5.4389 Å, c = 5.4389 Å
α = 60.00°, β = 60.00°, γ = 60.00°
Fractional positions:
Sr: 0.2500 0.2500 0.2500
Sr: 0.7500 0.7500 0.7500
Hf: 0.5000 0.5000 0.5000
Cr: 0.0000 0.0000 0.0000



Of them, a has the highest stability.



--- a ---
# Sr2HfCr2

Sr2HfCr2 after structural relaxation (PBE, Alexandria via LeMat-Bulk).

Output
SG: No. 127
Mass density, g/cm³: 5.65

a = 8.8010 Å, b = 8.8010 Å, c = 3.4751 Å
α = 90.00°, β = 90.00°, γ = 90.00°
Each line ends with the local moment (μB).
Fractional positions:
Cr: 0.0713 0.4287 0.0000  0.05
Cr: 0.4287 0.9287 0.0000  0.07
Cr: 0.9287 0.5713 0.0000  0.05
Cr: 0.5713 0.0713 0.0000  0.07
Hf: 0.0000 0.0000 0.0000  0.29
Hf: 0.5000 0.5000 0.0000  0.29
Sr: 0.7090 0.7910 0.5000  0.02
Sr: 0.7910 0.2910 0.5000  0.02
Sr: 0.2090 0.7090 0.5000  0.02
Sr: 0.2910 0.2090 0.5000  0.02



--- b ---
# Sr2HfCr2

Sr2HfCr2 after structural relaxation (PBE, Alexandria via LeMat-Bulk).

Output
SG: No. 139
Mass density, g/cm³: 6.12

a = 4.3200 Å, b = 4.3200 Å, c = 7.3205 Å
α = 72.84°, β = 72.84°, γ = 90.00°
Fractional positions:
Cr: 0.5677 0.5677 0.8645
Cr: 0.4323 0.4323 0.1355
Sr: 0.7500 0.2500 0.5000
Sr: 0.2500 0.7500 0.5000
Hf: 0.0000 0.0000 0.0000



Of them, a has the highest stability.



--- a ---
# SrHf3Cr

SrHf3Cr after structural relaxation (PBE, Alexandria via LeMat-Bulk).

Output
SG: No. 221
Mass density, g/cm³: 8.86

a = 5.0210 Å, b = 5.0210 Å, c = 5.0210 Å
α = 90.00°, β = 90.00°, γ = 90.00°
Fractional positions:
Hf: 0.0000 0.0000 0.5000
Hf: 0.5000 0.0000 0.0000
Hf: 0.0000 0.5000 0.0000
Cr: 0.0000 0.0000 0.0000
Sr: 0.5000 0.5000 0.5000



--- b ---
# SrHf3Cr

SrHf3Cr after structural relaxation (PBE, Alexandria via LeMat-Bulk).

Output
SG: No. 221
Mass density, g/cm³: 8.39

a = 5.1128 Å, b = 5.1128 Å, c = 5.1128 Å
α = 90.00°, β = 90.00°, γ = 90.00°
Each line ends with the local moment (μB).
Fractional positions:
Hf: 0.5000 0.0000 0.0000  -0.19
Hf: 0.0000 0.0000 0.5000  -0.13
Hf: 0.0000 0.5000 0.0000  -0.12
Sr: 0.0000 0.0000 0.0000  -0.04
Cr: 0.5000 0.5000 0.5000  3.81



Of them, a has the highest stability.